No. 1
Compound: BaCaLa
Source: Alexandria via LeMat-Bulk
Functional: PBE-GGA
Structure: optimized geometry

## Properties
ΔH_f (0 K), meV per atom: 122
SG: I4mm

The structure in POSCAR format:
```
BaCaLa
1.0
-8.940 0.552 -1.625
-7.163 -4.467 -3.406
7.524 0.872 5.050
Ca Ba La
1 1 1
direct
0.323 0.323 0.000
0.004 0.004 0.000
0.673 0.673 0.000
```

=====

No. 2
Compound: ZrUPaZn
Source: Alexandria via LeMat-Bulk
Functional: PBE-GGA
Structure: optimized geometry

## Properties
ΔH_f (0 K), meV per atom: 221
SG: F-43m

The structure in POSCAR format:
```
ZrUPaZn
1.0
4.940 0.000 0.000
2.470 4.278 0.000
2.470 1.426 4.033
Zn Pa U Zr
1 1 1 1
direct
0.000 0.000 0.000
0.250 0.250 0.250
0.500 0.500 0.500
0.750 0.750 0.750
```

=====

No. 3
Compound: DyZn2Au8
Source: Alexandria via LeMat-Bulk
Functional: PBE-GGA
Structure: optimized geometry

## Properties
ΔH_f (0 K), meV per atom: -336
SG: C2/m

The structure in POSCAR format:
```
DyZn2Au8
1.0
4.057 0.000 -1.166
-0.716 6.402 -2.492
-0.006 0.213 7.620
Dy Zn Au
1 2 8
direct
0.500 0.000 0.000
0.222 0.661 0.444
0.778 0.339 0.556
0.607 0.468 0.213
0.318 0.083 0.636
0.149 0.224 0.299
0.044 0.726 0.087
0.851 0.776 0.701
0.682 0.917 0.364
0.393 0.532 0.787
0.956 0.274 0.913
```